Entry 1:
! SrP3Ru5 GGA-PBE optimized geometry; values from VASP
! Energy relative to the elements: -0.4832 eV per atom
&SYSTEM
  ibrav = 0, nat = 18, ntyp = 3
/
ATOMIC_SPECIES
Ru 101.07 Ru.upf
Sr 87.62 Sr.upf
P 30.97 P.upf
CELL_PARAMETERS angstrom
3.9064 0.0000 0.0000
-1.9532 6.1791 0.0000
0.0000 0.0000 12.0304
ATOMIC_POSITIONS crystal
Ru 0.2033 0.4066 0.9293
Ru 0.2033 0.4066 0.5707
Ru 0.0000 0.0000 0.5000
Ru 0.4438 0.8875 0.1469
Ru 0.0000 0.0000 0.0000
Ru 0.7967 0.5934 0.4293
Ru 0.5562 0.1125 0.8531
Ru 0.5562 0.1125 0.6469
Ru 0.4438 0.8875 0.3531
Ru 0.7967 0.5934 0.0707
Sr 0.8415 0.6830 0.7500
Sr 0.1585 0.3170 0.2500
P 0.6157 0.2313 0.4579
P 0.8677 0.7353 0.2500
P 0.1323 0.2647 0.7500
P 0.3843 0.7687 0.9579
P 0.3843 0.7687 0.5421
P 0.6157 0.2313 0.0421

Entry 2:
! AlZn2Pd4 GGA-PBE optimized geometry; values from VASP
! Energy relative to the elements: -0.5295 eV per atom
&SYSTEM
  ibrav = 0, nat = 7, ntyp = 3
/
ATOMIC_SPECIES
Pd 106.42 Pd.upf
Zn 65.41 Zn.upf
Al 26.98 Al.upf
CELL_PARAMETERS angstrom
-3.7949 3.5495 -0.3549
0.3072 -2.6467 -4.4752
-1.0600 -3.2697 3.9130
ATOMIC_POSITIONS crystal
Pd 0.0000 0.0000 0.5000
Pd 0.5000 0.5000 0.5000
Pd 0.5000 0.0000 0.0000
Pd 0.0000 0.5000 0.0000
Zn 0.5000 0.5000 0.0000
Zn 0.5000 0.0000 0.5000
Al 0.0000 0.0000 0.0000

Entry 3:
! Li2Cd5Hg2 GGA-PBE optimized geometry; values from VASP
! Energy relative to the elements: -0.0715 eV per atom
&SYSTEM
  ibrav = 0, nat = 18, ntyp = 3
/
ATOMIC_SPECIES
Li 6.94 Li.upf
Cd 112.41 Cd.upf
Hg 200.59 Hg.upf
CELL_PARAMETERS angstrom
-4.4988 2.2124 -5.9705
-0.9523 -5.5476 -1.3382
-4.3866 1.6016 8.9889
ATOMIC_POSITIONS crystal
Li 0.6219 0.0113 0.9372
Li 0.1847 0.5740 0.0628
Li 0.3781 0.0740 0.0628
Li 0.8153 0.5113 0.9372
Cd 0.4073 0.4509 0.3189
Cd 0.1690 0.6832 0.7791
Cd 0.8899 0.4041 0.2209
Cd 0.5884 0.6320 0.6811
Cd 0.2039 0.7910 0.5000
Cd 0.8310 0.9041 0.2209
Cd 0.1101 0.1832 0.7791
Cd 0.5927 0.1320 0.6811
Cd 0.4116 0.9509 0.3189
Cd 0.7961 0.2910 0.5000
Hg 0.5000 0.5036 0.0000
Hg 0.8073 0.7858 0.5000
Hg 0.0000 0.0036 0.0000
Hg 0.1927 0.2858 0.5000

Entry 4:
! CaSmY GGA-PBE optimized geometry; values from VASP
! Energy relative to the elements: 0.0566 eV per atom
&SYSTEM
  ibrav = 0, nat = 3, ntyp = 3
/
ATOMIC_SPECIES
Sm 150.36 Sm.upf
Y 88.91 Y.upf
Ca 40.08 Ca.upf
CELL_PARAMETERS angstrom
-3.5509 0.7683 -0.4461
1.2650 -3.3395 -0.8034
-1.6607 -2.6931 8.5796
ATOMIC_POSITIONS crystal
Sm 0.3333 0.6667 0.6517
Y 0.6667 0.3333 0.3459
Ca 0.0000 0.0000 0.0024

Entry 5:
! Ba2Fe3 GGA-PBE optimized geometry; values from VASP
! Energy relative to the elements: 0.6277 eV per atom
&SYSTEM
  ibrav = 0, nat = 10, ntyp = 2
/
ATOMIC_SPECIES
Fe 55.84 Fe.upf
Ba 137.33 Ba.upf
CELL_PARAMETERS angstrom
-9.1205 -0.2136 1.7068
-7.2246 4.5498 -0.9417
-3.0893 -3.3392 -3.5504
ATOMIC_POSITIONS crystal
Fe 0.3641 0.8818 0.9543
Fe 0.7998 0.9543 0.8818
Fe 0.3682 0.8859 0.4502
Fe 0.1480 0.8520 0.8520
Fe 0.2957 0.4502 0.8859
Fe 0.3980 0.1020 0.1020
Ba 0.7232 0.8748 0.4371
Ba 0.3752 0.5268 0.2851
Ba 0.9649 0.4371 0.8748
Ba 0.8129 0.2851 0.5268

Entry 6:
! La2Ga3Ni4Sn GGA-PBE optimized geometry; values from VASP
! Energy relative to the elements: -0.5585 eV per atom
&SYSTEM
  ibrav = 0, nat = 10, ntyp = 4
/
ATOMIC_SPECIES
Ga 69.72 Ga.upf
Ni 58.69 Ni.upf
La 138.91 La.upf
Sn 118.71 Sn.upf
CELL_PARAMETERS angstrom
-1.2485 -0.8424 4.0748
4.0772 -1.0973 1.0224
1.8710 9.2724 2.4901
ATOMIC_POSITIONS crystal
Ga 0.5000 0.0000 0.8875
Ga 0.0000 0.0000 0.5000
Ga 0.0000 0.5000 0.1125
Ni 0.5000 0.5000 0.0000
Ni 0.0000 0.0000 0.0000
Ni 0.0000 0.5000 0.3599
Ni 0.5000 0.0000 0.6401
La 0.0000 0.5000 0.7633
La 0.5000 0.0000 0.2367
Sn 0.5000 0.5000 0.5000

Entry 7:
! SrCrIr2 GGA-PBE optimized geometry; values from VASP
! Energy relative to the elements: 0.0623 eV per atom
&SYSTEM
  ibrav = 0, nat = 4, ntyp = 3
/
ATOMIC_SPECIES
Sr 87.62 Sr.upf
Ir 192.22 Ir.upf
Cr 52.00 Cr.upf
CELL_PARAMETERS angstrom
-2.9216 0.7220 0.1293
-0.1360 -0.0069 -3.0331
-1.9847 -7.5044 -2.9389
ATOMIC_POSITIONS crystal
Sr 0.5000 0.2500 0.2500
Ir 0.0000 0.4407 0.5600
Ir 0.0000 0.0593 0.9400
Cr 0.5000 0.7500 0.7500

Entry 8:
! Pu2ThAl2Si2 GGA-PBE optimized geometry; values from VASP
! E_form (uncorrected): -201 meV per atom
&SYSTEM
  ibrav = 0, nat = 7, ntyp = 4
/
ATOMIC_SPECIES
Al 26.98 Al.upf
Th 232.04 Th.upf
Si 28.09 Si.upf
Pu 244.00 Pu.upf
CELL_PARAMETERS angstrom
-3.3798 0.4951 -2.2342
-0.5536 -2.2169 -3.3821
-5.4961 -7.0110 3.0322
ATOMIC_POSITIONS crystal
Al 0.5846 0.5846 0.2462
Al 0.4154 0.4154 0.7538
Th 0.0000 0.0000 0.0000
Si 0.2590 0.2590 0.2229
Si 0.7410 0.7410 0.7771
Pu 0.1512 0.1512 0.5463
Pu 0.8488 0.8488 0.4537

| no. | energy (eV/atom) |
| --- | --- |
| 1 | -7.6266 |
| 2 | -4.3954 |
| 3 | -1.0722 |
| 4 | -4.3383 |
| 5 | -5.2190 |
| 6 | -5.1648 |
| 7 | -7.1945 |
| 8 | -7.9742 |